Record 1
Here is an optimized crystal structure of FeOsPt from Alexandria. Energies are from PBEsol.

Computed properties:
energy	-8.515	eV per atom
ΔE_f	2.6	eV per formula unit

```
FeOsPt
1.0
-2.615 2.956 1.106
-3.961 -0.879 0.577
-1.576 0.032 3.783
Os Pt Fe
1 1 1
Cartesian
-4.076 1.054 2.733
-2.038 0.527 1.367
0.000 0.000 0.000
```

Record 2
Here is an optimized crystal structure of FeOs2Pt from Alexandria. Energies are from PBEsol.

Computed properties:
energy	-9.989	eV per atom
ΔE_f	0.4	eV per formula unit

```
FeOs2Pt
1.0
2.697 0.000 0.000
1.349 2.336 0.000
1.349 0.779 8.684
Fe Os Pt
1 2 1
Cartesian
1.349 0.779 2.141
4.046 2.336 0.037
4.046 2.336 6.586
2.697 1.557 4.262
```

Record 3
Here is an optimized crystal structure of FeOs2Pt from Alexandria. Energies are from PBEsol.

Computed properties:
energy	-10.020	eV per atom
ΔE_f	0.3	eV per formula unit

```
FeOs2Pt
1.0
-1.126 -1.787 1.667
1.200 -2.003 -1.337
5.964 0.514 4.580
Os Pt Fe
2 1 1
Cartesian
1.463 -1.772 1.260
5.952 0.513 4.571
3.038 0.262 2.333
4.531 -1.507 3.616
```

Record 4
Here is an optimized crystal structure of RbFeOs3 from Alexandria. Energies are from PBEsol.

Computed properties:
energy	-5.019	eV per atom
ΔE_f	21.5	eV per formula unit

```
RbFeOs3
1.0
-1.994 1.909 3.694
3.627 -1.206 2.581
2.034 4.021 -0.979
Rb Os Fe
1 3 1
Cartesian
0.000 0.000 0.000
1.813 -0.603 1.290
-0.997 0.954 1.847
1.017 2.011 -0.490
1.833 2.362 2.648
```

Record 5
Here is an optimized crystal structure of FeReOs from Alexandria. Energies are from PBEsol.

Computed properties:
energy	-11.102	eV per atom
ΔE_f	1.2	eV per formula unit

```
FeReOs
1.0
-1.296 0.674 -2.190
2.360 -1.092 -0.409
-3.291 -5.686 1.118
Re Fe Os
1 1 1
Cartesian
-1.860 -3.975 -0.123
-2.223 -6.097 -1.481
-0.369 -2.135 -1.359
```

Record 6
Here is an optimized crystal structure of FeReOs from Alexandria. Energies are from PBEsol.

Computed properties:
energy	-11.360	eV per atom
ΔE_f	0.4	eV per formula unit

```
FeReOs
1.0
2.681 0.000 0.000
-1.341 2.322 0.000
0.000 0.000 6.409
Os Re Fe
1 1 1
Cartesian
0.000 1.548 4.320
1.341 0.774 2.100
0.000 0.000 6.398
```

Record 7
Here is an optimized crystal structure of FeOsRh from Alexandria. Energies are from PBEsol.

Computed properties:
energy	-9.000	eV per atom
ΔE_f	2.3	eV per formula unit

```
FeOsRh
1.0
4.015 0.000 0.000
2.007 3.477 0.000
2.007 1.159 3.278
Os Fe Rh
1 1 1
Cartesian
2.007 1.159 0.819
4.015 2.318 1.639
0.000 0.000 0.000
```

Record 8
Here is an optimized crystal structure of Fe2OsRu from Alexandria. Energies are from PBEsol.

Computed properties:
energy	-9.716	eV per atom
ΔE_f	1.5	eV per formula unit

```
Fe2OsRu
1.0
-0.889 1.057 2.189
-1.667 -0.011 -1.979
-2.887 -7.545 2.471
Ru Fe Os
1 2 1
Cartesian
-1.967 -1.278 0.695
-2.861 -7.476 2.449
-3.474 -5.216 1.985
-1.471 -3.845 1.260
```

Record 9
Here is an optimized crystal structure of Fe2OsRu from Alexandria. Energies are from PBEsol.

Computed properties:
energy	-9.946	eV per atom
ΔE_f	0.5	eV per formula unit

```
Fe2OsRu
1.0
-0.680 -1.117 -2.226
-1.877 -3.292 2.227
-3.040 3.111 -0.633
Fe Os Ru
2 1 1
Cartesian
-1.520 1.555 -0.316
-0.938 -1.646 1.113
-0.340 -0.559 -1.113
-2.798 -0.649 -0.316
```

Record 10
Here is an optimized crystal structure of Fe2OsRu from Alexandria. Energies are from PBEsol.

Computed properties:
energy	-9.944	eV per atom
ΔE_f	0.5	eV per formula unit

```
Fe2OsRu
1.0
-0.560 -1.581 -1.959
3.372 0.211 -1.135
1.240 -4.067 2.928
Os Fe Ru
1 2 1
Cartesian
1.406 -0.685 -1.547
0.310 -1.017 0.732
0.930 -3.050 2.196
2.026 -2.718 -0.083
```

Record 11
Here is an optimized crystal structure of FeOs3Ru from Alexandria. Energies are from PBEsol.

Computed properties:
energy	-9.189	eV per atom
ΔE_f	9.8	eV per formula unit

```
FeOs3Ru
1.0
-2.872 1.693 2.698
-2.960 -0.076 -3.103
-1.177 -3.940 1.219
Ru Os Fe
1 3 1
Cartesian
-3.505 -1.162 0.407
-1.480 -0.038 -1.552
-0.589 -1.970 0.610
-1.436 0.846 1.349
0.000 0.000 0.000
```

Record 12
Here is an optimized crystal structure of FeOs2Ru from Alexandria. Energies are from PBEsol.

Computed properties:
energy	-10.741	eV per atom
ΔE_f	0.6	eV per formula unit

```
FeOs2Ru
1.0
2.651 0.000 0.000
-1.325 4.362 0.002
0.000 -0.794 4.494
Os Fe Ru
2 1 1
Cartesian
0.000 0.008 0.039
0.000 1.588 3.370
1.325 1.975 1.119
0.000 3.962 2.218
```

Record 13
Here is an optimized crystal structure of FeSi2OsRu from Alexandria. Energies are from PBEsol.

Computed properties:
formation energy (no corrections)	1.29	eV/atom
energy	-7.276	eV per atom

```
FeSi2OsRu
1.0
4.418 0.000 0.000
0.000 4.418 0.000
0.000 0.000 4.688
Os Fe Ru Si
1 1 1 2
Cartesian
0.000 0.000 0.000
0.000 0.000 2.344
2.209 2.209 2.344
2.209 0.000 0.000
0.000 2.209 0.000
```

Record 14
Here is an optimized crystal structure of Fe3OsS from Alexandria. Energies are from PBEsol.

Computed properties:
formation energy (no corrections)	1.69	eV/atom
energy	-7.013	eV per atom

```
Fe3OsS
1.0
4.475 0.000 0.000
0.000 4.475 0.000
0.000 0.000 4.475
Fe Os S
3 1 1
Cartesian
2.238 0.000 0.000
0.000 2.238 0.000
0.000 0.000 2.238
0.000 0.000 0.000
2.238 2.238 2.238
```

Record 15
Here is an optimized crystal structure of FeSbOs2 from Alexandria. Energies are from PBEsol.

Computed properties:
formation energy (no corrections)	0.65	eV/atom
energy	-8.841	eV per atom

```
FeSbOs2
1.0
2.853 -0.077 0.000
-0.125 4.861 0.000
0.000 0.000 4.392
Os Sb Fe
2 1 1
Cartesian
2.023 3.692 0.000
0.704 1.091 0.000
-0.063 2.430 2.196
1.426 -0.039 2.196
```